Below is an optimized crystal structure of Ac2SBr2O, with properties calculated at the PBE level.

Calculated values
As for the uncorrected formation energy: -2.482 eV per atom. Its density of states at the Fermi level is 0.00 states/eV/cell. Its crystal system is orthorhombic. As for the size of the total moment: 0.00 μB/cell.

Unit cell a=4.2831 b=9.0033 c=8.2883 alpha=90.00 beta=90.00 gamma=90.00
Closest atoms and distances in Å follow each position.
Fractional positions:
Ac: 0.0000 0.0756 0.0000  1 O 2.38
Ac: 0.0000 0.9244 0.5000  1 O 2.38
Ac: 0.5000 0.3077 0.4984  2 O 2.43
Ac: 0.5000 0.6923 0.9984  2 O 2.43
S: 0.5000 0.0490 0.7357  5 Ac 3.05-3.11, 2 O 3.39
S: 0.5000 0.9510 0.2357  5 Ac 3.05-3.11, 2 O 3.39
Br: 0.0000 0.4051 0.7873  3 Ac 3.33-3.45, 1 O 3.39, 4 Br 3.52-3.55
Br: 0.0000 0.5949 0.2873  3 Ac 3.33-3.45, 1 O 3.39, 4 Br 3.52-3.55
Br: 0.5000 0.3240 0.1133  4 Ac 3.19-3.45, 1 S 3.51, 4 Br 3.52-3.55
Br: 0.5000 0.6760 0.6133  4 Ac 3.19-3.45, 1 S 3.51, 4 Br 3.52-3.55
O: 0.0000 0.1857 0.4551  3 Ac 2.38-2.43
O: 0.0000 0.8143 0.9551  3 Ac 2.38-2.43